Here is crystalline AlCoSe2N at its relaxed geometry from Alexandria. Energies are from PBE.

```
AlCoSe2N
1.0
4.942 0.000 0.000
0.000 4.942 0.000
0.000 0.000 3.386
Al Co Se N
1 1 2 1
direct
0.000 0.000 0.000 Al
0.500 0.500 0.500 Co
0.000 0.500 0.500 Se
0.500 0.000 0.500 Se
0.500 0.500 0.000 N
```

Computed properties:
Total DFT energy (no corrections) ... -4.9724 eV per atom
Total magnetization ... 0.0 μB per formula unit
Energy above the lowest structure with this stoichiometry ... 0 meV/atom
Density ... 5177 kg/m3

***

Here is crystalline AlCoSn2N at its relaxed geometry from Alexandria. Energies are from PBE.

```
AlCoSn2N
1.0
4.992 0.000 0.000
0.000 4.992 0.000
0.000 0.000 3.530
Al Co Sn N
1 1 2 1
direct
0.000 0.000 0.000 Al
0.500 0.500 0.000 Co
0.000 0.500 0.500 Sn
0.500 0.000 0.500 Sn
0.000 0.000 0.500 N
```

Computed properties:
Total DFT energy (no corrections) ... -5.0389 eV per atom
Total magnetization ... 1.2 μB per formula unit
Density ... 6367 kg/m3